No. 1
The following is a DFT calculation (PBE) of Cr2Ir2Pd after structural relaxation.

Unit cell a=7.274 b=7.274 c=2.683 alpha=90.00 beta=90.00 gamma=90.00
Fractional coordinates of all 10 atoms:
Cr 0.164 0.664 0.500
Cr 0.336 0.164 0.500
Cr 0.836 0.336 0.500
Cr 0.664 0.836 0.500
Ir 0.131 0.369 0.000
Ir 0.869 0.631 0.000
Ir 0.369 0.869 0.000
Ir 0.631 0.131 0.000
Pd 0.500 0.500 0.000
Pd 0.000 0.000 0.000

Density of states at the Fermi level ... 0.9259 states/eV/atom
Size of the total moment ... 0.00 Bohr magnetons per cell
Calculated formation energy ... -0.0411 eV per atom
Space group ... P4/mbm
Energy above the most stable polymorph in this dataset ... 0 meV/atom

No. 2
The following is a DFT calculation (PBE) of CrIrPd2 after structural relaxation.

Unit cell a=4.347 b=4.347 c=4.347 alpha=60.00 beta=60.00 gamma=60.00
Fractional coordinates of all 4 atoms:
Pd 0.250 0.250 0.250
Pd 0.750 0.750 0.750
Ir 0.500 0.500 0.500
Cr 0.000 0.000 0.000

Density of states at the Fermi level ... 1.1025 states/eV/atom
Size of the total moment ... 0.00 Bohr magnetons per cell
Calculated formation energy ... 0.3966 eV per atom
Space group ... Fm-3m
Energy above the most stable polymorph in this dataset ... 0 meV/atom

No. 3
The following is a DFT calculation (PBE) of Cr2ReIrPd after structural relaxation.

Unit cell a=4.363 b=4.776 c=4.363 alpha=90.00 beta=90.00 gamma=90.00
Fractional coordinates of all 5 atoms:
Ir 0.000 0.000 0.000
Re 0.500 0.500 0.500
Cr 0.000 0.000 0.500
Cr 0.500 0.000 0.000
Pd 0.000 0.500 0.000

Density of states at the Fermi level ... 1.8378 states/eV/atom
Size of the total moment ... 0.03 Bohr magnetons per cell
Calculated formation energy ... 1.9384 eV per atom
Space group ... P4/mmm

No. 4
The following is a DFT calculation (PBE) of ScCrIrPd after structural relaxation.

Unit cell a=4.490 b=4.490 c=4.490 alpha=60.00 beta=60.00 gamma=60.00
Each line ends with the local moment (μB).
Fractional coordinates of all 4 atoms:
Sc 0.750 0.750 0.750  0.00
Pd 0.500 0.500 0.500  0.17
Ir 0.000 0.000 0.000  0.12
Cr 0.250 0.250 0.250  3.10

Density of states at the Fermi level ... 1.2546 states/eV/atom
Size of the total moment ... 3.61 Bohr magnetons per cell
Calculated formation energy ... -0.4161 eV per atom
Space group ... F-43m

No. 5
The following is a DFT calculation (PBE) of TiCrIrPd after structural relaxation.

Unit cell a=4.400 b=4.400 c=4.400 alpha=60.00 beta=60.00 gamma=60.00
Each line ends with the local moment (μB).
Fractional coordinates of all 4 atoms:
Cr 0.250 0.250 0.250  3.09
Ir 0.000 0.000 0.000  0.13
Pd 0.500 0.500 0.500  0.14
Ti 0.750 0.750 0.750  0.24

Density of states at the Fermi level ... 1.1638 states/eV/atom
Size of the total moment ... 3.88 Bohr magnetons per cell
Calculated formation energy ... -0.3200 eV per atom
Space group ... F-43m

No. 6
The following is a DFT calculation (PBE) of Cr2IrPt8 after structural relaxation.

Unit cell a=3.900 b=7.650 c=7.223 alpha=121.97 beta=105.66 gamma=90.00
Each line ends with the local moment (μB).
Fractional coordinates of all 11 atoms:
Pt 0.340 0.577 0.679  -0.14
Pt 0.340 0.102 0.679  -0.14
Pt 0.000 0.270 0.000  -0.20
Pt 0.660 0.423 0.321  -0.14
Pt 0.660 0.898 0.321  -0.14
Pt 0.831 0.831 0.663  -0.22
Pt 0.000 0.730 0.000  -0.20
Pt 0.169 0.169 0.337  -0.22
Cr 0.166 0.666 0.333  2.36
Cr 0.834 0.334 0.667  2.36
Ir 0.500 0.000 0.000  -0.62

Density of states at the Fermi level ... 0.8955 states/eV/atom
Size of the total moment ... 3.01 Bohr magnetons per cell
Calculated formation energy ... -0.0740 eV per atom
Space group ... Immm

No. 7
The following is a DFT calculation (PBE) of CrIrPt4 after structural relaxation.

Unit cell a=5.203 b=5.203 c=5.203 alpha=60.00 beta=60.00 gamma=60.00
Each line ends with the local moment (μB).
Fractional coordinates of all 6 atoms:
Cr 0.250 0.250 0.250  3.40
Pt 0.625 0.625 0.625  -0.09
Pt 0.625 0.124 0.625  -0.09
Pt 0.625 0.625 0.124  -0.09
Pt 0.124 0.625 0.625  -0.09
Ir 0.000 0.000 0.000  -1.06

Density of states at the Fermi level ... 1.4936 states/eV/atom
Size of the total moment ... 2.28 Bohr magnetons per cell
Calculated formation energy ... 0.3430 eV per atom
Space group ... F-43m

No. 8
The following is a DFT calculation (PBE) of Ti5CrIr2Pt2 after structural relaxation.

Unit cell a=2.882 b=10.676 c=10.676 alpha=90.00 beta=90.00 gamma=90.00
Fractional coordinates of all 20 atoms:
Ti 0.500 0.133 0.848
Ti 0.500 0.152 0.133
Ti 0.500 0.633 0.652
Ti 0.500 0.367 0.348
Ti 0.500 0.867 0.152
Ti 0.500 0.000 0.500
Ti 0.500 0.848 0.867
Ti 0.500 0.500 0.000
Ti 0.500 0.348 0.633
Ti 0.500 0.652 0.367
Ir 0.000 0.855 0.355
Ir 0.000 0.645 0.855
Ir 0.000 0.355 0.145
Ir 0.000 0.145 0.645
Pt 0.000 0.652 0.152
Pt 0.000 0.348 0.848
Pt 0.000 0.152 0.348
Pt 0.000 0.848 0.652
Cr 0.000 0.000 0.000
Cr 0.000 0.500 0.500

Density of states at the Fermi level ... 0.9883 states/eV/atom
Size of the total moment ... 0.00 Bohr magnetons per cell
Calculated formation energy ... -0.3989 eV per atom
Space group ... P4/mbm